# 1
# LaTb2ReO8

An optimized crystal structure of LaTb2ReO8 (GGA-PBE, Alexandria).

```
data_LaTb2ReO8
_space_group_name_H-M_alt 'P 1'
_space_group_IT_number 1
_cell_length_a 5.090
_cell_length_b 5.092
_cell_length_c 6.972
_cell_angle_alpha 90.00
_cell_angle_beta 90.00
_cell_angle_gamma 89.76
loop_
_space_group_symop_operation_xyz
'x,y,z'
loop_
_atom_site_label
_atom_site_fract_x
_atom_site_fract_y
_atom_site_fract_z
_atom_site_occupancy
La1 0.000 0.000 0.500 1
O1 0.184 0.817 0.198 1
O2 0.316 0.316 0.500 1
O3 0.684 0.684 0.500 1
O4 0.816 0.183 0.802 1
O5 0.736 0.736 0.000 1
O6 0.184 0.817 0.802 1
O7 0.816 0.183 0.198 1
O8 0.264 0.264 0.000 1
Tb1 0.500 0.500 0.750 1
Tb2 0.500 0.500 0.250 1
Re1 0.000 0.000 0.000 1
```

Values from the calculation:
VASP energy ... -8.305 eV per atom
V ... 15.06 A^3/atom
Total magnetic moment ... 0.00 μB per formula unit
SG ... Cmmm

***

# 2
# Na2AuBr4

An optimized crystal structure of Na2AuBr4 (GGA-PBE, Alexandria).

```
data_Na2AuBr4
_space_group_name_H-M_alt 'P 1'
_space_group_IT_number 1
_cell_length_a 7.416
_cell_length_b 7.416
_cell_length_c 10.200
_cell_angle_alpha 100.71
_cell_angle_beta 100.71
_cell_angle_gamma 119.27
loop_
_space_group_symop_operation_xyz
'x,y,z'
loop_
_atom_site_label
_atom_site_fract_x
_atom_site_fract_y
_atom_site_fract_z
_atom_site_occupancy
Br1 0.053 0.322 0.386 1
Br2 0.428 0.197 0.118 1
Br3 0.572 0.803 0.886 1
Br4 0.447 0.178 0.618 1
Br5 0.917 0.686 0.114 1
Br6 0.079 0.309 0.882 1
Br7 0.559 0.829 0.382 1
Br8 0.936 0.667 0.614 1
Na1 0.004 0.907 0.407 1
Na2 0.499 0.597 0.593 1
Na3 0.847 0.249 0.093 1
Na4 0.157 0.754 0.907 1
Au1 0.495 0.495 0.000 1
Au2 0.745 0.245 0.500 1
```

Values from the calculation:
V ... 32.50 A^3/atom
Energy above the lowest structure with this stoichiometry ... 0 meV per atom
Total magnetic moment ... 0.00 μB per formula unit
SG ... Fdd2

***

# 3
# KCd2Ag

An optimized crystal structure of KCd2Ag (GGA-PBE, Alexandria).

```
data_KCd2Ag
_space_group_name_H-M_alt 'P 1'
_space_group_IT_number 1
_cell_length_a 10.822
_cell_length_b 10.822
_cell_length_c 10.822
_cell_angle_alpha 17.89
_cell_angle_beta 17.89
_cell_angle_gamma 17.89
loop_
_space_group_symop_operation_xyz
'x,y,z'
loop_
_atom_site_label
_atom_site_fract_x
_atom_site_fract_y
_atom_site_fract_z
_atom_site_occupancy
Cd1 0.488 0.488 0.488 1
Cd2 0.012 0.012 0.012 1
K1 0.250 0.250 0.250 1
Ag1 0.750 0.750 0.750 1
```

Values from the calculation:
V ... 26.10 A^3/atom
Energy above the lowest structure with this stoichiometry ... 217 meV per atom
Total magnetic moment ... 0.00 μB per formula unit
SG ... R-3m

***

# 4
# RhS2N

An optimized crystal structure of RhS2N (GGA-PBE, Alexandria).

```
data_RhS2N
_space_group_name_H-M_alt 'P 1'
_space_group_IT_number 1
_cell_length_a 7.368
_cell_length_b 7.368
_cell_length_c 7.368
_cell_angle_alpha 23.45
_cell_angle_beta 23.45
_cell_angle_gamma 23.45
loop_
_space_group_symop_operation_xyz
'x,y,z'
loop_
_atom_site_label
_atom_site_fract_x
_atom_site_fract_y
_atom_site_fract_z
_atom_site_occupancy
Rh1 0.000 0.000 0.000 1
S1 0.897 0.897 0.897 1
S2 0.103 0.103 0.103 1
N1 0.500 0.500 0.500 1
```

Values from the calculation:
VASP energy ... -4.848 eV per atom
V ... 13.91 A^3/atom
Total magnetic moment ... 0.00 μB per formula unit
SG ... R-3m

***

# 5
# ZnAsP2S

An optimized crystal structure of ZnAsP2S (GGA-PBE, Alexandria).

```
data_ZnAsP2S
_space_group_name_H-M_alt 'P 1'
_space_group_IT_number 1
_cell_length_a 4.711
_cell_length_b 4.711
_cell_length_c 4.833
_cell_angle_alpha 90.00
_cell_angle_beta 90.00
_cell_angle_gamma 90.00
loop_
_space_group_symop_operation_xyz
'x,y,z'
loop_
_atom_site_label
_atom_site_fract_x
_atom_site_fract_y
_atom_site_fract_z
_atom_site_occupancy
As1 0.000 0.000 0.000 1
Zn1 0.500 0.500 0.500 1
P1 0.500 0.000 0.000 1
P2 0.000 0.500 0.000 1
S1 0.000 0.000 0.500 1
```

Values from the calculation:
V ... 21.45 A^3/atom
Energy above the lowest structure with this stoichiometry ... 0 meV per atom
Total magnetic moment ... 0.54 μB per formula unit
SG ... P4/mmm

***

# 6
# SrUCrN3

An optimized crystal structure of SrUCrN3 (GGA-PBE, Alexandria).

```
data_SrUCrN3
_space_group_name_H-M_alt 'P 1'
_space_group_IT_number 1
_cell_length_a 3.485
_cell_length_b 7.390
_cell_length_c 7.652
_cell_angle_alpha 101.12
_cell_angle_beta 90.00
_cell_angle_gamma 90.00
loop_
_space_group_symop_operation_xyz
'x,y,z'
loop_
_atom_site_label
_atom_site_fract_x
_atom_site_fract_y
_atom_site_fract_z
_atom_site_occupancy
Sr1 0.750 0.824 0.803 1
Sr2 0.250 0.176 0.197 1
N1 0.250 0.144 0.849 1
N2 0.750 0.856 0.151 1
N3 0.250 0.836 0.470 1
N4 0.250 0.559 0.871 1
N5 0.750 0.164 0.530 1
N6 0.750 0.441 0.129 1
U1 0.750 0.347 0.833 1
U2 0.250 0.653 0.167 1
Cr1 0.250 0.082 0.595 1
Cr2 0.750 0.918 0.405 1
```

Values from the calculation:
VASP energy ... -8.842 eV per atom
V ... 16.11 A^3/atom
Total magnetic moment ... 1.55 μB per formula unit
SG ... P2_1/m

***

# 7
# Mo3Se

An optimized crystal structure of Mo3Se (GGA-PBE, Alexandria).

```
data_Mo3Se
_space_group_name_H-M_alt 'P 1'
_space_group_IT_number 1
_cell_length_a 4.481
_cell_length_b 4.481
_cell_length_c 4.481
_cell_angle_alpha 60.00
_cell_angle_beta 60.00
_cell_angle_gamma 60.00
loop_
_space_group_symop_operation_xyz
'x,y,z'
loop_
_atom_site_label
_atom_site_fract_x
_atom_site_fract_y
_atom_site_fract_z
_atom_site_occupancy
Mo1 0.250 0.250 0.250 1
Mo2 0.000 0.000 0.000 1
Mo3 0.500 0.500 0.500 1
Se1 0.750 0.750 0.750 1
```

Values from the calculation:
V ... 15.90 A^3/atom
Energy above the lowest structure with this stoichiometry ... 272 meV per atom
Total magnetic moment ... 0.00 μB per formula unit
SG ... Fm-3m

***

# 8
# SrBiPt4

An optimized crystal structure of SrBiPt4 (GGA-PBE, Alexandria).

```
data_SrBiPt4
_space_group_name_H-M_alt 'P 1'
_space_group_IT_number 1
_cell_length_a 5.529
_cell_length_b 5.529
_cell_length_c 5.529
_cell_angle_alpha 60.00
_cell_angle_beta 60.00
_cell_angle_gamma 60.00
loop_
_space_group_symop_operation_xyz
'x,y,z'
loop_
_atom_site_label
_atom_site_fract_x
_atom_site_fract_y
_atom_site_fract_z
_atom_site_occupancy
Sr1 0.250 0.250 0.250 1
Pt1 0.625 0.625 0.625 1
Pt2 0.625 0.625 0.125 1
Pt3 0.625 0.125 0.625 1
Pt4 0.125 0.625 0.625 1
Bi1 0.000 0.000 0.000 1
```

Values from the calculation:
VASP energy ... -5.458 eV per atom
V ... 19.92 A^3/atom
Total magnetic moment ... 0.00 μB per formula unit
SG ... F-43m